Compound: Be3CoO
Source: Alexandria via LeMat-Bulk
Functional: PBE with a Hubbard U
Structure: relaxed Values from VASP.

Calculated values
**E above lowest polymorph**: 1507 meV/atom
**Symmetry**: Pm-3m (221)
**E_tot**: -3.139 eV per atom
**Magnetization**: 0.00 μB per atom

Cell and atoms, written as Quantum ESPRESSO input:
```
&SYSTEM
  ibrav = 0, nat = 5, ntyp = 3
/
ATOMIC_SPECIES
Be 9.01 Be.upf
Co 58.93 Co.upf
O 16.00 O.upf
CELL_PARAMETERS angstrom
3.8397 0.0000 0.0000
0.0000 3.8397 0.0000
0.0000 0.0000 3.8397
ATOMIC_POSITIONS crystal
Be 0.0000 0.5000 0.0000
Be 0.0000 0.0000 0.5000
Be 0.5000 0.0000 0.0000
Co 0.0000 0.0000 0.0000
O 0.5000 0.5000 0.5000
```